DFT (PBE-GGA) results for a geometry-optimized AsPb structure.

## Properties
Energy of formation = 83.2 meV/atom
VASP energy = -4.096 eV/atom
Symmetry = No. 74

Cell: 6.2264 6.2264 6.2264 Å, 145.95 128.75 62.97°
Closest atoms and distances in Å follow each position.
Positions (direct):
As 0.4142 0.1642 0.2500  2 As 2.58
As 0.5858 0.8358 0.7500  2 As 2.58
Pb 0.1407 0.3907 0.7500  8 As 3.30-3.61, 6 Pb 3.50-3.65
Pb 0.8593 0.6093 0.2500  8 As 3.30-3.61, 6 Pb 3.50-3.65

---

DFT (PBE-GGA) results for a geometry-optimized AsPb structure.

## Properties
Energy of formation = 299.4 meV/atom
VASP energy = -3.880 eV/atom
Symmetry = No. 217

Cell: 7.8293 7.8293 7.8293 Å, 109.47 109.47 109.47°
Closest atoms and distances in Å follow each position.
Positions (direct):
As 0.0000 0.0000 0.6676  4 Pb 2.81-2.90
As 0.0000 0.6676 0.0000  4 Pb 2.81-2.90
As 0.3324 0.3324 0.3324  4 Pb 2.81-2.90
As 0.6676 0.0000 0.0000  4 Pb 2.81-2.90
Pb 0.0000 0.0000 0.3087  4 As 2.81-2.90
Pb 0.0000 0.3087 0.0000  4 As 2.81-2.90
Pb 0.3087 0.0000 0.0000  4 As 2.81-2.90
Pb 0.6913 0.6913 0.6913  4 As 2.81-2.90

---

DFT (PBE-GGA) results for a geometry-optimized As3Pb structure.

## Properties
Energy of formation = 117.2 meV/atom
ΔE to the lowest computed polymorph = 76 meV per atom
VASP energy = -4.297 eV/atom
Symmetry = No. 63

Cell: 9.8274 9.8274 3.5974 Å, 90.00 90.00 141.71°
Closest atoms and distances in Å follow each position.
Positions (direct):
As 0.0028 0.4159 0.7500  3 As 2.47-2.70
As 0.0445 0.9555 0.7500  2 As 2.44
As 0.4159 0.0028 0.2500  3 As 2.47-2.70
As 0.5841 0.9972 0.7500  3 As 2.47-2.70
As 0.9555 0.0445 0.2500  2 As 2.44
As 0.9972 0.5841 0.2500  3 As 2.47-2.70
Pb 0.4201 0.5799 0.7500  2 As 3.01
Pb 0.5799 0.4201 0.2500  2 As 3.01

---

DFT (PBE-GGA) results for a geometry-optimized AsPb structure.

## Properties
Energy of formation = 249.6 meV/atom
VASP energy = -3.929 eV/atom
Symmetry = No. 223

Cell: 8.1266 8.1266 8.1266 Å, 90.00 90.00 90.00°
Closest atoms and distances in Å follow each position.
Positions (direct):
As 0.0000 0.2500 0.5000  4 Pb 2.87
As 0.0000 0.7500 0.5000  4 Pb 2.87
As 0.2500 0.5000 0.0000  4 Pb 2.87
As 0.5000 0.0000 0.2500  4 Pb 2.87
As 0.5000 0.0000 0.7500  4 Pb 2.87
As 0.7500 0.5000 0.0000  4 Pb 2.87
Pb 0.0000 0.5000 0.2500  4 As 2.87
Pb 0.0000 0.5000 0.7500  4 As 2.87
Pb 0.2500 0.0000 0.5000  4 As 2.87
Pb 0.5000 0.2500 0.0000  4 As 2.87
Pb 0.5000 0.7500 0.0000  4 As 2.87
Pb 0.7500 0.0000 0.5000  4 As 2.87

---

DFT (PBE-GGA) results for a geometry-optimized AsPb structure.

## Properties
Energy of formation = 169.2 meV/atom
VASP energy = -4.010 eV/atom
Symmetry = No. 166

Cell: 6.8712 6.8712 6.8712 Å, 37.70 37.70 37.70°
Closest atoms and distances in Å follow each position.
Positions (direct):
As 0.1367 0.1367 0.1367  3 As 2.81, 3 Pb 3.00
As 0.8633 0.8633 0.8633  3 As 2.81, 3 Pb 3.00
Pb 0.3888 0.3888 0.3888  3 As 3.00, 3 Pb 3.33
Pb 0.6112 0.6112 0.6112  3 As 3.00, 3 Pb 3.33

---

DFT (PBE-GGA) results for a geometry-optimized As2Pb3 structure.

## Properties
Energy of formation = 35.7 meV/atom
ΔE to the lowest computed polymorph = 93 meV per atom
VASP energy = -4.049 eV/atom
Symmetry = No. 43

Cell: 7.8854 7.3561 9.8766 Å, 51.99 47.31 80.70°
Closest atoms and distances in Å follow each position.
Positions (direct):
As 0.2100 0.7900 0.4027  5 Pb 2.91-3.12
As 0.6527 0.8473 0.4600  5 Pb 2.91-3.12
As 0.7900 0.2100 0.5973  5 Pb 2.91-3.12
As 0.8473 0.6527 0.0400  5 Pb 2.91-3.12
Pb 0.0808 0.3056 0.1407  3 As 2.95-2.98
Pb 0.1093 0.7771 0.1692  3 As 2.95-2.98
Pb 0.3056 0.0808 0.4729  3 As 2.95-2.98
Pb 0.4404 0.4404 0.5596  4 As 2.91-3.12
Pb 0.6904 0.6904 0.8096  4 As 2.91-3.12
Pb 0.7771 0.1093 0.9444  3 As 2.95-2.98

---

DFT (PBE-GGA) results for a geometry-optimized AsPb structure.

## Properties
Energy of formation = 344.1 meV/atom
VASP energy = -3.835 eV/atom
Symmetry = No. 227

Cell: 5.2578 5.2578 5.2578 Å, 60.00 60.00 60.00°
Closest atoms and distances in Å follow each position.
Positions (direct):
As 0.1250 0.1250 0.1250  4 As 3.22, 4 Pb 3.22
As 0.8750 0.8750 0.8750  4 As 3.22, 4 Pb 3.22
Pb 0.3750 0.3750 0.3750  4 Pb 3.22, 4 As 3.22
Pb 0.6250 0.6250 0.6250  4 As 3.22, 4 Pb 3.22

---

DFT (PBE-GGA) results for a geometry-optimized As5Pb4 structure.

## Properties
Energy of formation = 156.2 meV/atom
ΔE to the lowest computed polymorph = 0 meV per atom
VASP energy = -4.075 eV/atom
Symmetry = No. 139

Cell: 9.1354 9.1354 9.1354 Å, 92.28 92.28 157.01°
Closest atoms and distances in Å follow each position.
Positions (direct):
As 0.0000 0.0000 0.0000  4 Pb 2.89
As 0.3006 0.3006 0.6013  2 As 2.57
As 0.3006 0.6994 0.0000  2 As 2.57
As 0.6994 0.3006 0.0000  2 As 2.57
As 0.6994 0.6994 0.3987  2 As 2.57
Pb 0.0000 0.2280 0.2280  5 As 2.89-3.13
Pb 0.0000 0.7720 0.7720  5 As 2.89-3.13
Pb 0.2280 0.0000 0.2280  5 As 2.89-3.13
Pb 0.7720 0.0000 0.7720  5 As 2.89-3.13

---

DFT (PBE-GGA) results for a geometry-optimized As3Pb structure.

## Properties
Energy of formation = 399.7 meV/atom
ΔE to the lowest computed polymorph = 359 meV per atom
VASP energy = -4.014 eV/atom
Symmetry = No. 139

Cell: 6.1509 6.1509 6.1509 Å, 140.75 140.75 56.72°
Closest atoms and distances in Å follow each position.
Positions (direct):
As 0.0000 0.0000 0.0000  4 Pb 2.92
As 0.2500 0.7500 0.5000  4 As 2.92
As 0.7500 0.2500 0.5000  4 As 2.92
Pb 0.5000 0.5000 0.0000  4 As 2.92

---

DFT (PBE-GGA) results for a geometry-optimized As3Pb structure.

## Properties
Energy of formation = 183.8 meV/atom
ΔE to the lowest computed polymorph = 143 meV per atom
VASP energy = -4.230 eV/atom
Symmetry = No. 139

Cell: 12.2040 12.2040 12.2040 Å, 160.98 160.98 27.03°
Closest atoms and distances in Å follow each position.
Positions (direct):
As 0.0000 0.5000 0.5000  8 As 2.80-2.85
As 0.0821 0.0821 0.0000  4 As 2.80
As 0.2500 0.7500 0.5000  4 As 2.85, 4 Pb 3.16
As 0.5000 0.0000 0.5000  8 As 2.80-2.85
As 0.7500 0.2500 0.5000  4 As 2.85, 4 Pb 3.16
As 0.9179 0.9179 0.0000  4 As 2.80
Pb 0.3523 0.3523 0.0000  8 As 3.16-3.25
Pb 0.6477 0.6477 0.0000  8 As 3.16-3.25

---

DFT (PBE-GGA) results for a geometry-optimized AsPb structure.

## Properties
Energy of formation = 172.8 meV/atom
VASP energy = -4.006 eV/atom
Symmetry = No. 176

Cell: 10.1953 10.1953 3.6612 Å, 90.00 90.00 120.00°
Closest atoms and distances in Å follow each position.
Positions (direct):
As 0.1039 0.8687 0.2500  4 As 2.77, 2 Pb 3.03
As 0.1313 0.2351 0.2500  4 As 2.77, 2 Pb 3.03
As 0.2351 0.1039 0.7500  4 As 2.77, 2 Pb 3.03
As 0.7649 0.8961 0.2500  4 As 2.77, 2 Pb 3.03
As 0.8687 0.7649 0.7500  4 As 2.77, 2 Pb 3.03
As 0.8961 0.1313 0.7500  4 As 2.77, 2 Pb 3.03
Pb 0.1312 0.6466 0.7500  2 As 3.03, 2 Pb 3.38
Pb 0.3534 0.4846 0.7500  2 As 3.03, 2 Pb 3.38
Pb 0.4846 0.1312 0.2500  2 As 3.03, 2 Pb 3.38
Pb 0.5154 0.8688 0.7500  2 As 3.03, 2 Pb 3.38
Pb 0.6466 0.5154 0.2500  2 As 3.03, 2 Pb 3.38
Pb 0.8688 0.3534 0.2500  2 As 3.03, 2 Pb 3.38

---

DFT (PBE-GGA) results for a geometry-optimized As3Pb structure.

## Properties
Energy of formation = 109.6 meV/atom
ΔE to the lowest computed polymorph = 68 meV per atom
VASP energy = -4.305 eV/atom
Symmetry = No. 166

Cell: 6.9594 6.9594 6.9594 Å, 34.12 34.12 34.12°
Closest atoms and distances in Å follow each position.
Positions (direct):
As 0.0000 0.0000 0.0000  6 As 2.75
As 0.2614 0.2614 0.2614  3 As 2.75, 3 Pb 3.00
As 0.7386 0.7386 0.7386  3 As 2.75, 3 Pb 3.00
Pb 0.5000 0.5000 0.5000  6 As 3.00